No. 1
Here is a relaxed structure of KCd2Sb2 from Alexandria. Energies are from PBEsol.

a b c (Å): 4.8080 4.8080 12.5407
angles (deg): 90.00 90.00 90.00
Space group I4/mmm (No. 139)
Symmetry-distinct sites (fractional):
K  0.0000  0.0000  0.0000 [2 per cell]
Cd  0.0000  0.0000  0.3922 [4 per cell]
Sb  0.0000  0.5000  0.2500 [4 per cell]

Summary:
The calculation puts the uncorrected formation energy at -0.90 eV/f.u.

No. 2
Here is a relaxed structure of KCdSb2 from Alexandria. Energies are from PBEsol.

a b c (Å): 3.1488 5.5611 6.2623
angles (deg): 90.00 90.00 90.00
Space group Pmm2 (No. 25)
Symmetry-distinct sites (fractional):
K  0.0000  0.0000  0.0000 [1 per cell]
Cd  0.5000  0.5000  0.2671 [1 per cell]
Sb  0.5000  0.0000  0.4987 [1 per cell]
Sb  0.5000  0.5000  0.7595 [1 per cell]

Summary:
The calculation puts the uncorrected formation energy at -0.41 eV/f.u.

No. 3
Here is a relaxed structure of KCdSb2 from Alexandria. Energies are from PBEsol.

a b c (Å): 4.6056 4.6056 10.3517
angles (deg): 90.00 90.00 90.00
Space group I4/mmm (No. 139)
Symmetry-distinct sites (fractional):
K  0.0000  0.0000  0.0000 [2 per cell]
Cd  0.0000  0.0000  0.5000 [2 per cell]
Sb  0.0000  0.5000  0.2500 [4 per cell]

Summary:
The calculation puts the uncorrected formation energy at -0.10 eV/f.u.